Entry 1:
! Li3InHg2, relaxed, DFT PBE-GGA; values from VASP
&SYSTEM
  ibrav = 0, nat = 6, ntyp = 3
/
ATOMIC_SPECIES
Li 6.94 Li.upf
In 114.82 In.upf
Hg 200.59 Hg.upf
ATOMIC_POSITIONS crystal
Li 0.0000 0.0000 0.0000
Li 0.0000 0.0000 0.3214
Li 0.0000 0.0000 0.6786
In 0.5000 0.5000 0.5000
Hg 0.5000 0.5000 0.1625
Hg 0.5000 0.5000 0.8375
CELL_PARAMETERS angstrom
3.2751 0.0000 0.0000
0.0000 3.2751 0.0000
0.0000 0.0000 10.4592
! raw total energy	-1.864	eV per atom
! space group	No. 123
! DFT formation energy	-350	meV per atom
! density of states at the Fermi level	0.197	states/eV/atom
! total magnetization	0.000	μB/f.u.

=====

Entry 2:
! Li2In3Hg, relaxed, DFT PBE-GGA; values from VASP
&SYSTEM
  ibrav = 0, nat = 6, ntyp = 3
/
ATOMIC_SPECIES
Li 6.94 Li.upf
In 114.82 In.upf
Hg 200.59 Hg.upf
ATOMIC_POSITIONS crystal
Li 0.0000 0.0000 0.0000
Li 0.0000 0.5000 0.4862
In 0.5000 0.0000 0.6587
In 0.5000 0.5000 0.1646
In 0.5000 0.5000 0.8166
Hg 0.5000 0.0000 0.3144
CELL_PARAMETERS angstrom
3.2651 0.0000 0.0000
0.0000 5.1739 0.0000
0.0000 0.0000 8.2787
! ΔE to the lowest computed polymorph	20	meV per atom
! raw total energy	-2.220	eV per atom
! space group	No. 25
! DFT formation energy	-162	meV per atom
! density of states at the Fermi level	0.452	states/eV/atom
! total magnetization	0.000	μB/f.u.

=====

Entry 3:
! Li2In4Hg, relaxed, DFT PBE-GGA; values from VASP
&SYSTEM
  ibrav = 0, nat = 14, ntyp = 3
/
ATOMIC_SPECIES
Li 6.94 Li.upf
In 114.82 In.upf
Hg 200.59 Hg.upf
ATOMIC_POSITIONS crystal
Li 0.0000 0.2003 0.0000
Li 0.0000 0.7997 0.0000
Li 0.5000 0.2997 0.0000
Li 0.5000 0.7003 0.0000
In 0.1840 0.5000 0.0000
In 0.2500 0.2500 0.5000
In 0.2500 0.7500 0.5000
In 0.3160 0.0000 0.0000
In 0.6840 0.0000 0.0000
In 0.7500 0.2500 0.5000
In 0.7500 0.7500 0.5000
In 0.8160 0.5000 0.0000
Hg 0.0000 0.0000 0.5000
Hg 0.5000 0.5000 0.5000
CELL_PARAMETERS angstrom
8.1924 0.0000 0.0000
0.0000 8.8759 0.0000
0.0000 0.0000 4.5239
! ΔE to the lowest computed polymorph	0	meV per atom
! raw total energy	-2.296	eV per atom
! space group	No. 65
! DFT formation energy	-141	meV per atom
! density of states at the Fermi level	0.222	states/eV/atom
! total magnetization	0.000	μB/f.u.

=====

- What is the total magnetization in the first record?
  0.000 μB/f.u.

=====

Copy entry 1 word for word.
! Li3InHg2, relaxed, DFT PBE-GGA; values from VASP
&SYSTEM
  ibrav = 0, nat = 6, ntyp = 3
/
ATOMIC_SPECIES
Li 6.94 Li.upf
In 114.82 In.upf
Hg 200.59 Hg.upf
ATOMIC_POSITIONS crystal
Li 0.0000 0.0000 0.0000
Li 0.0000 0.0000 0.3214
Li 0.0000 0.0000 0.6786
In 0.5000 0.5000 0.5000
Hg 0.5000 0.5000 0.1625
Hg 0.5000 0.5000 0.8375
CELL_PARAMETERS angstrom
3.2751 0.0000 0.0000
0.0000 3.2751 0.0000
0.0000 0.0000 10.4592
! raw total energy	-1.864	eV per atom
! space group	No. 123
! DFT formation energy	-350	meV per atom
! density of states at the Fermi level	0.197	states/eV/atom
! total magnetization	0.000	μB/f.u.

=====

- Which of these has the highest density of states at the Fermi level?
  Li2In3Hg